# PaCuSbSe, optimized geometry, DFT PBE
data_PaCuSbSe
_chemical_formula_sum 'Pa2 Cu2 Sb2 Se2'
_symmetry_space_group_name_H-M 'P 4/n m m'
_symmetry_Int_Tables_number 129
_cell_length_a 4.4864
_cell_length_b 4.4864
_cell_length_c 8.5345
_cell_angle_alpha 90.00
_cell_angle_beta 90.00
_cell_angle_gamma 90.00
loop_
_symmetry_equiv_pos_as_xyz
'x,y,z'
'-x,-y,-z'
'-y+1/2,x,z'
'y+1/2,-x,-z'
'-x+1/2,-y+1/2,z'
'x+1/2,y+1/2,-z'
'y,-x+1/2,z'
'-y,x+1/2,-z'
'x+1/2,-y,-z'
'-x+1/2,y,z'
'-y,-x,-z'
'y,x,z'
'-x,y+1/2,-z'
'x,-y+1/2,z'
'y+1/2,x+1/2,-z'
'-y+1/2,-x+1/2,z'
loop_
_atom_site_label
_atom_site_fract_x
_atom_site_fract_y
_atom_site_fract_z
Pa1 0.2500 0.2500 0.2233
Cu1 0.2500 0.7500 0.5000
Sb1 0.2500 0.2500 0.6681
Se1 0.2500 0.7500 0.0000
# Volume   171.8 Å³ per cell
# Total energy   -5.93 eV per atom
# Total moment   1.182 Bohr magnetons per cell
# Formation energy (no corrections)   -2.51 eV per formula unit

---

# PaCuTcSb, optimized geometry, DFT PBE
data_PaCuTcSb
_chemical_formula_sum 'Pa4 Cu4 Tc4 Sb4'
_symmetry_space_group_name_H-M 'F -4 3 m'
_symmetry_Int_Tables_number 216
_symmetry_space_group_name_Hall 'F -4 2 3'
_cell_length_a 6.7369
_cell_length_b 6.7369
_cell_length_c 6.7369
_cell_angle_alpha 90.00
_cell_angle_beta 90.00
_cell_angle_gamma 90.00
loop_
_atom_site_label
_atom_site_fract_x
_atom_site_fract_y
_atom_site_fract_z
Pa1 0.0000 0.0000 0.0000
Cu1 0.2500 0.2500 0.7500
Tc1 0.2500 0.2500 0.2500
Sb1 0.0000 0.0000 0.5000
# Volume   305.8 Å³ per cell
# Total energy   -7.04 eV per atom
# Total moment   0.001 Bohr magnetons per cell
# Formation energy (no corrections)   -0.08 eV per formula unit

---

# ScPaCu4, optimized geometry, DFT PBE
data_ScPaCu4
_chemical_formula_sum 'Sc4 Pa4 Cu16'
_symmetry_space_group_name_H-M 'F -4 3 m'
_symmetry_Int_Tables_number 216
_symmetry_space_group_name_Hall 'F -4 2 3'
_cell_length_a 7.2522
_cell_length_b 7.2522
_cell_length_c 7.2522
_cell_angle_alpha 90.00
_cell_angle_beta 90.00
_cell_angle_gamma 90.00
loop_
_atom_site_label
_atom_site_fract_x
_atom_site_fract_y
_atom_site_fract_z
Sc1 0.0000 0.0000 0.0000
Pa1 0.2500 0.2500 0.2500
Cu1 0.1257 0.1257 0.6257
# Volume   381.4 Å³ per cell
# Total energy   -5.44 eV per atom
# E_form   -0.071 eV per atom
# Total moment   0.001 Bohr magnetons per cell

---

# ScPaCu2, optimized geometry, DFT PBE
data_ScPaCu2
_chemical_formula_sum 'Sc1 Pa1 Cu2'
_symmetry_space_group_name_H-M 'P 4/m m m'
_symmetry_Int_Tables_number 123
_symmetry_space_group_name_Hall '-P 4 2'
_cell_length_a 3.1315
_cell_length_b 3.1315
_cell_length_c 7.4646
_cell_angle_alpha 90.00
_cell_angle_beta 90.00
_cell_angle_gamma 90.00
loop_
_atom_site_label
_atom_site_fract_x
_atom_site_fract_y
_atom_site_fract_z
Sc1 0.0000 0.0000 0.0000
Pa1 0.0000 0.0000 0.5000
Cu1 0.5000 0.5000 0.2272
# Volume   73.2 Å³ per cell
# Relative energy among the computed polymorphs   0.0000 eV per atom
# Total energy   -6.07 eV per atom
# E_form   -0.070 eV per atom
# Total moment   0.000 Bohr magnetons per cell